No. 1
DFT (PBE) results for an optimized crystal structure of KYTi.

Cell and atoms, written as extended XYZ:
```
3
Lattice="0.000 3.928 3.928 3.928 0.000 3.928 3.928 3.928 0.000" Properties=species:S:1:pos:R:3 pbc="T T T"
Y 5.892 5.892 5.892
K 1.964 1.964 1.964
Ti 3.928 3.928 3.928
```

Properties
The calculation puts the excess energy over the best structure of this formula in the dataset at 1.1131 eV/atom. The crystal system is cubic.


No. 2
DFT (PBE) results for an optimized crystal structure of K3YTi.

Cell and atoms, written as extended XYZ:
```
5
Lattice="6.456 0.000 0.000 0.000 6.456 0.000 0.000 0.000 6.456" Properties=species:S:1:pos:R:3 pbc="T T T"
Y 3.228 3.228 3.228
K 0.000 3.228 0.000
K 0.000 0.000 3.228
K 3.228 0.000 0.000
Ti 0.000 0.000 0.000
```

Properties
The calculation puts the excess energy over the best structure of this formula in the dataset at 0.0000 eV/atom. The crystal system is cubic.


No. 3
DFT (PBE) results for an optimized crystal structure of K3YTi.

Cell and atoms, written as extended XYZ:
```
5
Lattice="6.753 0.000 0.000 0.000 6.753 0.000 0.000 0.000 6.753" Properties=species:S:1:pos:R:3 pbc="T T T"
Y 0.000 0.000 0.000
K 0.000 3.377 0.000
K 0.000 0.000 3.377
K 3.377 0.000 0.000
Ti 3.377 3.377 3.377
```

Properties
The calculation puts the excess energy over the best structure of this formula in the dataset at 0.4502 eV/atom. The crystal system is cubic.


No. 4
DFT (PBE) results for an optimized crystal structure of KYTi.

Cell and atoms, written as extended XYZ:
```
6
Lattice="5.136 -2.965 0.000 0.000 5.930 0.000 0.000 0.000 6.318" Properties=species:S:1:pos:R:3 pbc="T T T"
Y 1.712 2.965 4.738
Y 3.424 0.000 1.579
K 0.000 0.000 0.000
K 0.000 0.000 3.159
Ti 1.712 2.965 1.579
Ti 3.424 0.000 4.738
```

Properties
The calculation puts the excess energy over the best structure of this formula in the dataset at 0.7271 eV/atom. The crystal system is hexagonal.


No. 5
DFT (PBE) results for an optimized crystal structure of KYTi.

Cell and atoms, written as extended XYZ:
```
3
Lattice="5.095 -2.942 0.000 0.000 5.884 0.000 0.000 0.000 3.212" Properties=species:S:1:pos:R:3 pbc="T T T"
Y 0.000 0.000 0.000
K 3.397 0.000 1.606
Ti 1.698 2.942 0.000
```

Properties
The calculation puts the excess energy over the best structure of this formula in the dataset at 0.7757 eV/atom. The crystal system is hexagonal.


No. 6
DFT (PBE) results for an optimized crystal structure of KYTi.

Cell and atoms, written as extended XYZ:
```
12
Lattice="-8.914 3.766 -2.972 0.657 -0.929 -3.147 -5.060 -10.392 2.010" Properties=species:S:1:pos:R:3 pbc="T T T"
Y -9.857 -1.108 -2.620
Y -9.514 -7.844 -2.340
Y -3.459 -6.446 -1.489
Y -3.803 0.289 -1.769
K -12.761 -5.617 -1.896
K -6.183 -2.457 -3.235
K -0.556 -1.937 -2.213
K -7.134 -5.097 -0.875
Ti -3.543 -3.340 -0.644
Ti -6.563 -8.655 -1.485
Ti -9.774 -4.214 -3.466
Ti -6.754 1.100 -2.624
```

Properties
The calculation puts the excess energy over the best structure of this formula in the dataset at 0.5639 eV/atom. The crystal system is orthorhombic.


No. 7
DFT (PBE) results for an optimized crystal structure of KYTi.

Cell and atoms, written as extended XYZ:
```
12
Lattice="-3.060 2.137 1.565 -2.968 -3.492 -1.036 4.326 -10.398 22.653" Properties=species:S:1:pos:R:3 pbc="T T T"
Y 0.445 -7.628 19.111
Y -3.215 -4.166 7.272
Y -2.146 -4.125 4.072
Y 1.513 -7.587 15.910
K -1.183 -3.720 10.602
K -0.511 -10.660 21.414
K -0.519 -8.033 12.581
K -1.190 -1.093 1.768
Ti -0.294 -3.263 6.516
Ti 0.396 -10.216 17.319
Ti -1.407 -8.490 16.667
Ti -2.098 -1.537 5.864
```

Properties
The calculation puts the excess energy over the best structure of this formula in the dataset at 0.1443 eV/atom. The crystal system is orthorhombic.


No. 8
DFT (PBE) results for an optimized crystal structure of KYTi.

Cell and atoms, written as extended XYZ:
```
6
Lattice="-1.785 -3.076 0.790 3.075 -1.901 -0.452 3.383 1.860 15.205" Properties=species:S:1:pos:R:3 pbc="T T T"
Y -0.032 -2.479 2.867
Y 4.706 -0.637 12.676
K 1.551 -1.624 10.045
K 3.123 -1.492 5.498
Ti 2.693 -0.990 15.149
Ti 1.981 -2.126 0.395
```

Properties
The calculation puts the excess energy over the best structure of this formula in the dataset at 0.0000 eV/atom. The crystal system is monoclinic.


No. 9
DFT (PBE) results for an optimized crystal structure of KYTi.

Cell and atoms, written as extended XYZ:
```
6
Lattice="4.900 0.000 0.000 0.000 4.900 0.000 0.000 0.000 9.878" Properties=species:S:1:pos:R:3 pbc="T T T"
Y 0.000 0.000 4.939
Y 2.450 2.450 4.939
K 0.000 2.450 1.402
K 2.450 0.000 8.476
Ti 0.000 2.450 7.001
Ti 2.450 0.000 2.877
```

Properties
The calculation puts the excess energy over the best structure of this formula in the dataset at 0.6470 eV/atom. The crystal system is tetragonal.


No. 10
DFT (PBE) results for an optimized crystal structure of KYTi.

Cell and atoms, written as extended XYZ:
```
6
Lattice="-9.849 4.000 -0.463 -2.819 -4.747 -2.526 -0.648 -1.226 3.024" Properties=species:S:1:pos:R:3 pbc="T T T"
Y -3.832 -3.784 -1.439
Y -9.484 1.810 1.474
K -5.060 -0.705 1.376
K -8.256 -1.268 -1.341
Ti -1.864 -1.706 -0.175
Ti -11.452 -0.267 0.210
```

Properties
The calculation puts the excess energy over the best structure of this formula in the dataset at 0.2598 eV/atom. The crystal system is triclinic.


No. 11
DFT (PBE) results for an optimized crystal structure of K2YTi.

Cell and atoms, written as extended XYZ:
```
4
Lattice="0.000 4.292 4.292 4.292 0.000 4.292 4.292 4.292 0.000" Properties=species:S:1:pos:R:3 pbc="T T T"
Y 4.292 4.292 4.292
K 2.146 2.146 2.146
K 6.438 6.438 6.438
Ti 0.000 0.000 0.000
```

Properties
The calculation puts the excess energy over the best structure of this formula in the dataset at 0.0496 eV/atom. The crystal system is cubic.


No. 12
DFT (PBE) results for an optimized crystal structure of KYTi.

Cell and atoms, written as extended XYZ:
```
6
Lattice="6.146 0.004 -0.003 2.823 3.065 0.000 1.700 -1.556 12.646" Properties=species:S:1:pos:R:3 pbc="T T T"
Y 6.414 0.760 6.459
Y 5.003 -0.773 9.297
K 8.082 -0.778 12.355
K 3.340 0.766 3.402
Ti 3.341 0.758 7.105
Ti 1.930 -0.775 8.653
```

Properties
The calculation puts the excess energy over the best structure of this formula in the dataset at 0.1147 eV/atom. The crystal system is triclinic.


No. 13
DFT (PBE) results for an optimized crystal structure of KYTi.

Cell and atoms, written as extended XYZ:
```
6
Lattice="3.645 0.000 -0.014 0.000 4.012 0.000 0.140 0.000 14.756" Properties=species:S:1:pos:R:3 pbc="T T T"
Y 2.654 0.000 0.881
Y 2.783 0.000 12.344
K 0.949 2.006 9.074
K 2.671 0.000 5.048
Ti 0.836 2.006 2.268
Ti 0.965 2.006 14.177
```

Properties
The calculation puts the excess energy over the best structure of this formula in the dataset at 0.2300 eV/atom. The crystal system is monoclinic.


No. 14
DFT (PBE) results for an optimized crystal structure of KTi2Zn4.

Cell and atoms, written as extended XYZ:
```
7
Lattice="-4.835 -2.054 -0.790 0.796 -3.410 3.995 -4.733 1.920 6.114" Properties=species:S:1:pos:R:3 pbc="T T T"
Zn -5.254 -3.381 5.225
Zn -3.518 -0.163 4.094
Zn 0.398 -1.705 1.997
Zn -2.418 -1.027 -0.395
K 0.000 0.000 0.000
Ti -6.315 -1.563 6.988
Ti -2.458 -1.981 2.331
```

Properties
As for the uncorrected energy: -2.239 eV/atom. The crystal system is tetragonal.


No. 15
DFT (PBE) results for an optimized crystal structure of K2Ti4Zn.

Cell and atoms, written as extended XYZ:
```
7
Lattice="4.923 0.000 0.000 0.000 4.923 0.000 2.461 2.461 9.436" Properties=species:S:1:pos:R:3 pbc="T T T"
Zn 0.000 0.000 0.000
K 4.923 4.923 6.308
K 2.461 2.461 3.128
Ti 4.923 4.923 2.360
Ti 2.461 2.461 7.076
Ti 0.000 2.461 0.000
Ti 2.461 0.000 0.000
```

Properties
As for the uncorrected energy: -3.772 eV/atom. The crystal system is tetragonal.


No. 16
DFT (PBE) results for an optimized crystal structure of KTi2Zn.

Cell and atoms, written as extended XYZ:
```
8
Lattice="-2.310 -2.197 3.336 3.982 -1.567 1.725 1.538 6.535 8.559" Properties=species:S:1:pos:R:3 pbc="T T T"
Zn 0.000 0.000 0.000
Zn 0.032 1.228 7.213
K 0.836 -1.882 2.530
K 3.178 1.543 6.407
Ti -1.139 -0.484 5.274
Ti 0.852 -1.268 6.137
Ti 0.785 3.882 7.886
Ti -0.370 2.784 9.554
```

Properties
As for the uncorrected energy: -3.527 eV/atom. The crystal system is tetragonal.


No. 17
DFT (PBE) results for an optimized crystal structure of KTiZn2.

Cell and atoms, written as extended XYZ:
```
4
Lattice="0.000 3.520 3.520 3.520 0.000 3.520 3.520 3.520 0.000" Properties=species:S:1:pos:R:3 pbc="T T T"
Zn 1.760 1.760 1.760
Zn 5.280 5.280 5.280
K 0.000 0.000 0.000
Ti 3.520 3.520 3.520
```

Properties
The calculation puts the excess energy over the best structure of this formula in the dataset at 0.0000 eV/atom. The crystal system is cubic.


No. 18
DFT (PBE) results for an optimized crystal structure of KTiZn2.

Cell and atoms, written as extended XYZ:
```
8
Lattice="7.894 0.000 0.000 0.000 7.894 0.000 3.947 3.947 3.440" Properties=species:S:1:pos:R:3 pbc="T T T"
Zn 6.380 1.973 0.860
Zn 1.513 5.920 0.860
Zn 5.920 5.460 2.580
Zn 9.867 10.327 2.580
K 3.947 3.947 0.000
K 3.947 7.894 1.720
Ti 0.000 0.000 0.000
Ti 7.894 3.947 1.720
```

Properties
The calculation puts the excess energy over the best structure of this formula in the dataset at 0.0664 eV/atom. The crystal system is tetragonal.


No. 19
DFT (PBE) results for an optimized crystal structure of K2ZrTi.

Cell and atoms, written as extended XYZ:
```
8
Lattice="12.610 0.000 0.000 0.000 12.610 0.000 6.305 6.305 2.446" Properties=species:S:1:pos:R:3 pbc="T T T"
K 7.811 3.153 0.612
K 4.799 9.458 0.612
K 9.458 11.105 1.835
K 15.763 14.116 1.835
Zr 0.000 0.000 0.000
Zr 12.610 6.305 1.223
Ti 6.305 6.305 0.000
Ti 6.305 12.610 1.223
```

Properties
The calculation puts the excess energy over the best structure of this formula in the dataset at 0.0000 eV/atom. The crystal system is tetragonal.


No. 20
DFT (PBE) results for an optimized crystal structure of K3ZrTi.

Cell and atoms, written as extended XYZ:
```
5
Lattice="-0.349 5.962 2.891 -3.994 -2.499 4.672 5.287 -1.494 3.720" Properties=species:S:1:pos:R:3 pbc="T T T"
K -1.997 -1.250 2.336
K 2.644 -0.747 1.860
K -0.175 2.981 1.446
Zr 0.000 0.000 0.000
Ti 0.472 0.984 5.642
```

Properties
The calculation puts the excess energy over the best structure of this formula in the dataset at 0.0000 eV/atom. The crystal system is cubic.